Entry 1:
The following is a GGA-PBE calculation of crystalline LaTl2Pb at its relaxed geometry, from Alexandria.

Computed properties:
As for the total energy: -3.668 eV/atom. The formation energy from the elements comes out at -0.326 eV per atom. For the total magnetization, the calculation gives 0.00 μB per cell.

Unit cell a=6.287 b=6.287 c=4.751 alpha=67.81 beta=67.81 gamma=44.60
Fractional coordinates of all 4 atoms:
Tl (0.017, 0.017, 0.982)
Tl (0.750, 0.750, 0.751)
La (0.488, 0.488, 0.512)
Pb (0.245, 0.245, 0.255)

Entry 2:
The following is a GGA-PBE calculation of crystalline TiIn2O5 at its relaxed geometry, from Alexandria.

Computed properties:
As for the total energy: -6.886 eV/atom. For the total magnetization, the calculation gives 0.00 μB per cell. As for the uncorrected formation energy: -2.12 eV/atom.

Unit cell a=3.532 b=7.384 c=15.167 alpha=90.00 beta=90.00 gamma=90.00
Fractional coordinates of all 32 atoms:
O (0.750, 0.060, 0.825)
O (0.250, 0.427, 0.046)
O (0.250, 0.440, 0.325)
O (0.250, 0.371, 0.851)
O (0.750, 0.629, 0.149)
O (0.750, 0.154, 0.005)
O (0.750, 0.560, 0.675)
O (0.750, 0.073, 0.546)
O (0.750, 0.762, 0.320)
O (0.750, 0.129, 0.351)
O (0.250, 0.846, 0.995)
O (0.250, 0.927, 0.454)
O (0.250, 0.346, 0.505)
O (0.250, 0.238, 0.680)
O (0.250, 0.738, 0.820)
O (0.750, 0.573, 0.954)
O (0.250, 0.871, 0.649)
O (0.750, 0.654, 0.495)
O (0.250, 0.940, 0.175)
O (0.750, 0.262, 0.180)
In (0.250, 0.601, 0.583)
In (0.250, 0.101, 0.917)
In (0.250, 0.174, 0.260)
In (0.750, 0.399, 0.417)
In (0.750, 0.899, 0.083)
In (0.750, 0.826, 0.740)
In (0.750, 0.326, 0.760)
In (0.250, 0.674, 0.240)
Ti (0.750, 0.892, 0.422)
Ti (0.750, 0.392, 0.078)
Ti (0.250, 0.608, 0.922)
Ti (0.250, 0.108, 0.578)

Entry 3:
The following is a GGA-PBE calculation of crystalline Pt2RhCl at its relaxed geometry, from Alexandria.

Computed properties:
As for the total energy: -4.718 eV/atom. The excess energy over the best structure of this formula in the dataset is 0.402 eV/atom. For the total magnetization, the calculation gives 0.00 μB per cell. As for the uncorrected formation energy: 0.60 eV/atom.

Unit cell a=4.953 b=4.953 c=2.804 alpha=90.00 beta=90.00 gamma=112.74
Fractional coordinates of all 4 atoms:
Cl (0.000, 0.500, 0.500)
Rh (0.500, 0.000, 0.500)
Pt (0.500, 0.500, 0.000)
Pt (0.000, 0.000, 0.000)

Entry 4:
The following is a GGA-PBE calculation of crystalline Li3Tc2N4 at its relaxed geometry, from Alexandria.

Computed properties:
As for the total energy: -6.911 eV/atom. For the total magnetization, the calculation gives 0.00 μB per cell. As for the uncorrected formation energy: -0.27 eV/atom.

Unit cell a=3.144 b=5.492 c=6.613 alpha=83.94 beta=76.25 gamma=73.37
Fractional coordinates of all 9 atoms:
N (0.427, 0.288, 0.859)
N (0.573, 0.712, 0.141)
N (0.755, 0.161, 0.329)
N (0.245, 0.839, 0.671)
Li (0.803, 0.568, 0.826)
Li (0.000, 0.000, 0.000)
Li (0.197, 0.432, 0.174)
Tc (0.635, 0.082, 0.648)
Tc (0.365, 0.918, 0.352)

Entry 5:
The following is a GGA-PBE calculation of crystalline Sc2SiH at its relaxed geometry, from Alexandria.

Computed properties:
As for the total energy: -5.289 eV/atom. For the total magnetization, the calculation gives 0.00 μB per cell.

Unit cell a=8.105 b=8.105 c=8.105 alpha=22.63 beta=22.63 gamma=22.63
Fractional coordinates of all 4 atoms:
H (0.500, 0.500, 0.500)
Sc (0.114, 0.114, 0.114)
Sc (0.886, 0.886, 0.886)
Si (0.000, 0.000, 0.000)

Entry 6:
The following is a GGA-PBE calculation of crystalline Tm2GeO6 at its relaxed geometry, from Alexandria.

Computed properties:
As for the total energy: -7.140 eV/atom. For the total magnetization, the calculation gives 4.05 μB per cell. As for the uncorrected formation energy: -2.33 eV/atom.

Unit cell a=4.901 b=4.901 c=9.841 alpha=90.00 beta=90.00 gamma=90.00
Fractional coordinates of all 18 atoms:
O (0.186, 0.814, 0.856)
O (0.814, 0.186, 0.144)
O (0.314, 0.314, 0.644)
O (0.686, 0.686, 0.644)
O (0.777, 0.223, 0.500)
O (0.314, 0.314, 0.356)
O (0.814, 0.186, 0.856)
O (0.723, 0.723, 0.000)
O (0.223, 0.777, 0.500)
O (0.186, 0.814, 0.144)
O (0.686, 0.686, 0.356)
O (0.277, 0.277, 0.000)
Tm (0.500, 0.500, 0.171)
Tm (0.000, 0.000, 0.329)
Tm (0.500, 0.500, 0.829)
Tm (0.000, 0.000, 0.671)
Ge (0.000, 0.000, 0.000)
Ge (0.500, 0.500, 0.500)

Entry 7:
The following is a GGA-PBE calculation of crystalline NaCdF at its relaxed geometry, from Alexandria.

Computed properties:
As for the total energy: -2.862 eV/atom. For the total magnetization, the calculation gives 0.00 μB per cell. As for the uncorrected formation energy: -1.49 eV/atom.

Unit cell a=3.614 b=3.614 c=6.071 alpha=90.00 beta=90.00 gamma=120.00
Fractional coordinates of all 3 atoms:
Cd (0.000, 0.000, 0.978)
F (0.333, 0.667, 0.556)
Na (0.667, 0.333, 0.466)

Entry 8:
The following is a GGA-PBE calculation of crystalline RbSn at its relaxed geometry, from Alexandria.

Computed properties:
As for the total energy: -2.641 eV/atom. The formation energy from the elements comes out at -0.156 eV per atom. For the total magnetization, the calculation gives 0.00 μB per cell.

Unit cell a=14.035 b=14.035 c=4.668 alpha=90.00 beta=90.00 gamma=90.00
Fractional coordinates of all 16 atoms:
Sn (0.708, 0.708, 0.500)
Sn (0.792, 0.208, 0.000)
Sn (0.208, 0.208, 0.000)
Sn (0.292, 0.708, 0.500)
Sn (0.792, 0.792, 0.000)
Sn (0.292, 0.292, 0.500)
Sn (0.208, 0.792, 0.000)
Sn (0.708, 0.292, 0.500)
Rb (0.000, 0.764, 0.500)
Rb (0.236, 0.000, 0.500)
Rb (0.500, 0.264, 0.000)
Rb (0.000, 0.236, 0.500)
Rb (0.764, 0.000, 0.500)
Rb (0.264, 0.500, 0.000)
Rb (0.500, 0.736, 0.000)
Rb (0.736, 0.500, 0.000)